Entry 1:
! CrMo2Rh9 (PBE, optimized geometry); values from VASP
! energy of formation: -2.125 eV per formula unit
! DOS(E_F): 1.005 states/eV/atom
&SYSTEM
  ibrav = 0, nat = 12, ntyp = 3
/
ATOMIC_SPECIES
Cr 52.00 Cr.upf
Mo 95.94 Mo.upf
Rh 102.91 Rh.upf
CELL_PARAMETERS angstrom
3.8509 0.0000 0.0000
0.0000 3.8509 0.0000
0.0000 0.0000 11.5409
ATOMIC_POSITIONS crystal
Cr 0.0000 0.0000 0.0000
Mo 0.0000 0.0000 0.3284
Mo 0.0000 0.0000 0.6716
Rh 0.5000 0.5000 0.0000
Rh 0.5000 0.5000 0.3339
Rh 0.5000 0.5000 0.6661
Rh 0.5000 0.0000 0.1667
Rh 0.5000 0.0000 0.5000
Rh 0.5000 0.0000 0.8333
Rh 0.0000 0.5000 0.1667
Rh 0.0000 0.5000 0.5000
Rh 0.0000 0.5000 0.8333

Entry 2:
! LiHfTl2 (PBE, optimized geometry); values from VASP
! energy of formation: 0.999 eV per formula unit
! DOS(E_F): 0.646 states/eV/atom
&SYSTEM
  ibrav = 0, nat = 8, ntyp = 3
/
ATOMIC_SPECIES
Tl 204.38 Tl.upf
Hf 178.49 Hf.upf
Li 6.94 Li.upf
CELL_PARAMETERS angstrom
-2.2625 -0.1027 -7.1857
5.7468 -4.5492 -1.7444
-0.0874 -4.8720 -3.8526
ATOMIC_POSITIONS crystal
Tl 0.5920 0.1250 0.2500
Tl 0.1580 0.6250 0.2500
Tl 0.3750 0.4080 0.7500
Tl 0.8750 0.8420 0.7500
Hf 0.0000 0.0000 0.0000
Hf 0.7500 0.2500 0.5000
Li 0.5000 0.5000 0.0000
Li 0.2500 0.7500 0.5000

Entry 3:
! ErSI (PBE, optimized geometry); values from VASP
! formation energy (no corrections): -1.76 eV per atom
! DOS(E_F): 0.000 states/eV/atom
&SYSTEM
  ibrav = 0, nat = 6, ntyp = 3
/
ATOMIC_SPECIES
S 32.06 S.upf
Er 167.26 Er.upf
I 126.90 I.upf
CELL_PARAMETERS angstrom
-1.9472 3.2281 2.3606
-2.4107 -2.4588 -2.8157
-0.1327 -8.9678 7.9964
ATOMIC_POSITIONS crystal
S 0.6089 0.3037 0.9131
S 0.3911 0.6963 0.0869
Er 0.2338 0.6158 0.8505
Er 0.7662 0.3842 0.1495
I 0.7871 0.8912 0.6805
I 0.2129 0.1088 0.3195

Entry 4:
! Ge2SbBr6 (PBE, optimized geometry); values from VASP
! formation energy (no corrections): -0.45 eV per atom
! DOS(E_F): 0.188 states/eV/atom
&SYSTEM
  ibrav = 0, nat = 18, ntyp = 3
/
ATOMIC_SPECIES
Ge 72.64 Ge.upf
Sb 121.76 Sb.upf
Br 79.90 Br.upf
CELL_PARAMETERS angstrom
-1.2867 7.3050 -3.6317
-8.3164 1.3973 5.0778
3.1509 4.8521 7.9642
ATOMIC_POSITIONS crystal
Ge 0.4905 0.6580 0.8377
Ge 0.0095 0.1623 0.3420
Ge 0.5095 0.3420 0.1623
Ge 0.9905 0.8377 0.6580
Sb 0.2500 0.0876 0.9124
Sb 0.7500 0.9124 0.0876
Br 0.7210 0.5956 0.6991
Br 0.7790 0.3009 0.4044
Br 0.2790 0.4044 0.3009
Br 0.2210 0.6991 0.5956
Br 0.8589 0.9140 0.4048
Br 0.6411 0.5952 0.0860
Br 0.1411 0.0860 0.5952
Br 0.3589 0.4048 0.9140
Br 0.1285 0.8413 0.9619
Br 0.3715 0.0381 0.1587
Br 0.8715 0.1587 0.0381
Br 0.6285 0.9619 0.8413

Entry 5:
! Tm4Pb3Au3 (PBE, optimized geometry); values from VASP
! energy of formation: -5.183 eV per formula unit
! DOS(E_F): 0.451 states/eV/atom
&SYSTEM
  ibrav = 0, nat = 20, ntyp = 3
/
ATOMIC_SPECIES
Tm 168.93 Tm.upf
Pb 207.20 Pb.upf
Au 196.97 Au.upf
CELL_PARAMETERS angstrom
-8.0606 -0.2356 -3.4956
5.9553 -1.6232 -6.2568
0.6388 -6.0912 6.3037
ATOMIC_POSITIONS crystal
Tm 0.0000 0.0000 0.3150
Tm 0.5000 0.3150 0.5000
Tm 0.6850 0.1850 0.1850
Tm 0.0000 0.0000 0.8150
Tm 0.8150 0.5000 0.0000
Tm 0.5000 0.8150 0.5000
Tm 0.3150 0.5000 0.0000
Tm 0.1850 0.6850 0.6850
Pb 0.6250 0.7500 0.8750
Pb 0.8750 0.2500 0.6250
Pb 0.1250 0.3750 0.2500
Pb 0.3750 0.1250 0.7500
Pb 0.2500 0.8750 0.1250
Pb 0.7500 0.6250 0.3750
Au 0.1250 0.7500 0.3750
Au 0.3750 0.2500 0.1250
Au 0.6250 0.8750 0.2500
Au 0.8750 0.6250 0.7500
Au 0.2500 0.3750 0.6250
Au 0.7500 0.1250 0.8750

Entry 6:
! LiGaNi4 (PBE, optimized geometry); values from VASP
! energy of formation: -0.618 eV per formula unit
! relative energy among the computed polymorphs: 0.55 eV/f.u.
! DOS(E_F): 1.137 states/eV/atom
&SYSTEM
  ibrav = 0, nat = 6, ntyp = 3
/
ATOMIC_SPECIES
Ni 58.69 Ni.upf
Ga 69.72 Ga.upf
Li 6.94 Li.upf
CELL_PARAMETERS angstrom
4.7145 0.0000 0.0000
2.3573 4.0829 0.0000
2.3573 1.3610 3.8494
ATOMIC_POSITIONS crystal
Ni 0.6251 0.6251 0.1246
Ni 0.6251 0.1246 0.6251
Ni 0.6251 0.6251 0.6251
Ni 0.1246 0.6251 0.6251
Ga 0.0000 0.0000 0.0000
Li 0.2500 0.2500 0.2500

Entry 7:
! AcSm2Ag2Ge2 (PBE, optimized geometry); values from VASP
! energy of formation: -3.081 eV per formula unit
! DOS(E_F): 0.587 states/eV/atom
&SYSTEM
  ibrav = 0, nat = 7, ntyp = 4
/
ATOMIC_SPECIES
Ac 227.00 Ac.upf
Sm 150.36 Sm.upf
Ag 107.87 Ag.upf
Ge 72.64 Ge.upf
CELL_PARAMETERS angstrom
4.6355 0.0000 0.0000
2.3178 4.0145 0.0000
2.3178 1.3382 9.6954
ATOMIC_POSITIONS crystal
Ac 0.0000 0.0000 0.0000
Sm 0.1300 0.1300 0.6100
Sm 0.8700 0.8700 0.3900
Ag 0.5929 0.5929 0.2214
Ag 0.4071 0.4071 0.7786
Ge 0.7469 0.7469 0.7594
Ge 0.2531 0.2531 0.2406

Entry 8:
! Ba2NaZnHg (PBE, optimized geometry); values from VASP
! energy of formation: -0.351 eV per formula unit
! DOS(E_F): 1.289 states/eV/atom
&SYSTEM
  ibrav = 0, nat = 5, ntyp = 4
/
ATOMIC_SPECIES
Na 22.99 Na.upf
Zn 65.41 Zn.upf
Hg 200.59 Hg.upf
Ba 137.33 Ba.upf
CELL_PARAMETERS angstrom
6.5196 0.0000 0.0000
0.0000 6.5196 0.0000
0.0000 0.0000 5.0633
ATOMIC_POSITIONS crystal
Na 0.5000 0.5000 0.5000
Zn 0.0000 0.0000 0.0000
Hg 0.0000 0.0000 0.5000
Ba 0.0000 0.5000 0.0000
Ba 0.5000 0.0000 0.0000

| no. | VASP energy (eV for the cell shown) |
| --- | --- |
| 1 | -99.57 |
| 2 | -31.20 |
| 3 | -31.07 |
| 4 | -54.81 |
| 5 | -88.05 |
| 6 | -28.68 |
| 7 | -31.56 |
| 8 | -7.09 |